--- a ---
{
  "formula": "LiNbCdPd",
  "functional": "PBE",
  "state": "relaxed",
  "cell": [[0.000, 3.188, 3.188], [3.188, 0.000, 3.188], [3.188, 3.188, 0.000]],
  "species": ["Li", "Nb", "Cd", "Pd"],
  "fractional_positions": [[0.000, 0.000, 0.000], [0.250, 0.250, 0.250], [0.750, 0.750, 0.750], [0.500, 0.500, 0.500]]
}

--- b ---
{
  "formula": "LiNbCdPd",
  "functional": "PBE",
  "state": "relaxed",
  "cell": [[0.000, 3.227, 3.227], [3.227, 0.000, 3.227], [3.227, 3.227, 0.000]],
  "species": ["Li", "Nb", "Cd", "Pd"],
  "fractional_positions": [[0.000, 0.000, 0.000], [0.500, 0.500, 0.500], [0.250, 0.250, 0.250], [0.750, 0.750, 0.750]]
}

It comes down to a, which is 88 meV per atom more stable than the next structure.

--- a ---
{
  "formula": "LiNdCdSe3",
  "functional": "PBE",
  "state": "relaxed",
  "cell": [[8.997, -2.075, 0.000], [8.997, 2.075, 0.000], [-2.595, 0.000, 8.577]],
  "species": ["Li", "Li", "Nd", "Nd", "Cd", "Cd", "Se", "Se", "Se", "Se", "Se", "Se"],
  "fractional_positions": [[0.104, 0.104, 0.073], [0.896, 0.896, 0.927], [0.181, 0.181, 0.617], [0.819, 0.819, 0.383], [0.484, 0.484, 0.284], [0.516, 0.516, 0.716], [0.000, 0.000, 0.500], [0.328, 0.328, 0.160], [0.343, 0.343, 0.635], [0.500, 0.500, 0.000], [0.657, 0.657, 0.365], [0.672, 0.672, 0.840]]
}

--- b ---
{
  "formula": "LiNdCdSe3",
  "functional": "PBE",
  "state": "relaxed",
  "cell": [[13.733, 0.000, 0.000], [0.000, 4.183, 0.000], [0.000, 0.000, 11.721]],
  "species": ["Li", "Li", "Li", "Li", "Nd", "Nd", "Nd", "Nd", "Cd", "Cd", "Cd", "Cd", "Se", "Se", "Se", "Se", "Se", "Se", "Se", "Se", "Se", "Se", "Se", "Se"],
  "fractional_positions": [[0.209, 0.250, 0.198], [0.291, 0.750, 0.698], [0.709, 0.250, 0.302], [0.791, 0.750, 0.802], [0.043, 0.750, 0.852], [0.457, 0.250, 0.352], [0.543, 0.750, 0.648], [0.957, 0.250, 0.148], [0.039, 0.250, 0.601], [0.461, 0.750, 0.101], [0.539, 0.250, 0.899], [0.961, 0.750, 0.399], [0.082, 0.250, 0.373], [0.100, 0.750, 0.089], [0.176, 0.250, 0.761], [0.324, 0.750, 0.261], [0.400, 0.250, 0.589], [0.418, 0.750, 0.873], [0.582, 0.250, 0.127], [0.600, 0.750, 0.411], [0.676, 0.250, 0.739], [0.824, 0.750, 0.239], [0.900, 0.250, 0.911], [0.918, 0.750, 0.627]]
}

--- c ---
{
  "formula": "LiNdCdSe3",
  "functional": "PBE",
  "state": "relaxed",
  "cell": [[11.579, 0.000, 0.000], [0.000, 4.233, 0.000], [0.000, 0.000, 13.451]],
  "species": ["Li", "Li", "Li", "Li", "Nd", "Nd", "Nd", "Nd", "Cd", "Cd", "Cd", "Cd", "Se", "Se", "Se", "Se", "Se", "Se", "Se", "Se", "Se", "Se", "Se", "Se"],
  "fractional_positions": [[0.130, 0.250, 0.023], [0.370, 0.750, 0.523], [0.630, 0.250, 0.477], [0.870, 0.750, 0.977], [0.022, 0.250, 0.743], [0.478, 0.750, 0.243], [0.522, 0.250, 0.757], [0.978, 0.750, 0.257], [0.225, 0.250, 0.293], [0.275, 0.750, 0.793], [0.725, 0.250, 0.207], [0.775, 0.750, 0.707], [0.033, 0.250, 0.393], [0.083, 0.750, 0.900], [0.227, 0.750, 0.165], [0.273, 0.250, 0.665], [0.417, 0.250, 0.400], [0.467, 0.750, 0.893], [0.533, 0.250, 0.107], [0.583, 0.750, 0.600], [0.727, 0.750, 0.335], [0.773, 0.250, 0.835], [0.917, 0.250, 0.100], [0.967, 0.750, 0.607]]
}

--- d ---
{
  "formula": "LiNdCdSe3",
  "functional": "PBE",
  "state": "relaxed",
  "cell": [[12.664, 0.000, 0.000], [0.000, 4.188, 0.000], [0.000, 0.000, 11.899]],
  "species": ["Li", "Li", "Li", "Li", "Nd", "Nd", "Nd", "Nd", "Cd", "Cd", "Cd", "Cd", "Se", "Se", "Se", "Se", "Se", "Se", "Se", "Se", "Se", "Se", "Se", "Se"],
  "fractional_positions": [[0.110, 0.250, 0.011], [0.390, 0.750, 0.511], [0.610, 0.250, 0.489], [0.890, 0.750, 0.989], [0.046, 0.250, 0.678], [0.454, 0.750, 0.178], [0.546, 0.250, 0.822], [0.954, 0.750, 0.322], [0.236, 0.250, 0.285], [0.264, 0.750, 0.785], [0.736, 0.250, 0.215], [0.764, 0.750, 0.715], [0.065, 0.750, 0.863], [0.081, 0.250, 0.425], [0.222, 0.750, 0.145], [0.278, 0.250, 0.645], [0.419, 0.750, 0.925], [0.435, 0.250, 0.363], [0.565, 0.750, 0.637], [0.581, 0.250, 0.075], [0.722, 0.750, 0.355], [0.778, 0.250, 0.855], [0.919, 0.750, 0.575], [0.935, 0.250, 0.137]]
}

It comes down to b, which is 19 meV per atom more stable than the next structure.